Compound: LaNdPt2
Source: OQMD via LeMat-Bulk
Functional: PBE
Structure: optimized geometry

Values from the calculation:
**Formation energy**: -557 meV per atom
**ρ**: 10.52 Mg/m³
**Total magnetic moment**: 0.02 μB per formula unit
**Energy above the most stable polymorph in this dataset**: 610.6 meV per atom
**Energy**: -6.006 eV per atom

abc: 7.060 7.060 7.389
angles: 90.00 90.00 120.00
Fractional positions:
Pt: 0.787 0.893 0.667
Pt: 0.213 0.107 0.667
Pt: 0.107 0.213 0.000
Pt: 0.893 0.787 0.000
Pt: 0.107 0.893 0.333
Pt: 0.893 0.107 0.333
Nd: 0.000 0.500 0.167
Nd: 0.500 0.500 0.833
Nd: 0.500 0.000 0.500
La: 0.500 0.000 0.000
La: 0.500 0.500 0.333
La: 0.000 0.500 0.667